VCuSn2 after structural relaxation. Source: Alexandria, functional GGA-PBE.

a = 3.1453 Å, b = 3.1453 Å, c = 9.6127 Å
α = 80.58°, β = 80.58°, γ = 60.00°
Fractional positions:
Sn (0.0895, 0.0895, 0.7316)
Sn (0.9105, 0.9105, 0.2684)
Cu (0.0000, 0.0000, 0.0000)
V (0.5000, 0.5000, 0.5000)

The calculated volume comes out at 20.219 Å³/atom. The energy above the lowest structure with this stoichiometry is 0.410 eV per formula unit. The value obtained for the formation energy is 0.3112 eV/atom.